No. 1
Entry from OQMD via LeMat-Bulk: crystalline LuNb at its relaxed geometry (PBE).

Energy of formation: 0.728 eV per atom
E above lowest polymorph: 9.12 kcal/mol of atoms
Raw total energy: -13.16 eV per formula unit

Lattice parameters (Å, degrees): 5.100 5.100 4.868 90.00 90.00 120.00
Atoms (fractional coordinates):
Lu 0.667 0.333 0.250
Lu 0.333 0.667 0.750
Nb 0.000 0.000 0.000
Nb 0.000 0.000 0.500

No. 2
Entry from OQMD via LeMat-Bulk: crystalline LuNb at its relaxed geometry (PBE).

Energy of formation: 1.008 eV per atom
E above lowest polymorph: 15.57 kcal/mol of atoms
Raw total energy: -12.60 eV per formula unit

Lattice parameters (Å, degrees): 3.592 3.592 7.612 90.00 90.00 120.00
Atoms (fractional coordinates):
Lu 0.000 0.000 0.000
Lu 0.000 0.000 0.500
Nb 0.667 0.333 0.250
Nb 0.333 0.667 0.750

No. 3
Entry from OQMD via LeMat-Bulk: crystalline LuNb at its relaxed geometry (PBE).

Energy of formation: 1.246 eV per atom
E above lowest polymorph: 21.06 kcal/mol of atoms
Raw total energy: -12.13 eV per formula unit

Lattice parameters (Å, degrees): 4.103 4.103 4.103 60.00 60.00 60.00
Each line ends with the local moment (μB).
Atoms (fractional coordinates):
Lu 0.000 0.000 0.000  0.14
Nb 0.500 0.500 0.500  0.42

No. 4
Entry from OQMD via LeMat-Bulk: crystalline NdLuNb at its relaxed geometry (PBE).

Energy of formation: 0.814 eV per atom
E above lowest polymorph: 0.00 kcal/mol of atoms
Raw total energy: -16.94 eV per formula unit

Lattice parameters (Å, degrees): 5.094 5.094 5.094 60.00 60.00 60.00
Each line ends with the local moment (μB).
Atoms (fractional coordinates):
Lu 0.500 0.500 0.500  0.25
Nb 0.250 0.250 0.250  1.67
Nd 0.000 0.000 0.000  0.12

No. 5
Entry from OQMD via LeMat-Bulk: crystalline LuNbNi at its relaxed geometry (PBE).

Energy of formation: 1.139 eV per atom
Raw total energy: -16.77 eV per formula unit

Lattice parameters (Å, degrees): 4.452 4.452 4.452 60.00 60.00 60.00
Atoms (fractional coordinates):
Lu 0.000 0.000 0.000
Nb 0.250 0.250 0.250
Ni 0.750 0.750 0.750

No. 6
Entry from OQMD via LeMat-Bulk: crystalline LuNb2Ni at its relaxed geometry (PBE).

Energy of formation: 0.113 eV per atom
Raw total energy: -29.83 eV per formula unit

Lattice parameters (Å, degrees): 4.643 4.643 4.643 60.00 60.00 60.00
Atoms (fractional coordinates):
Lu 0.500 0.500 0.500
Nb 0.000 0.000 0.000
Nb 0.750 0.750 0.750
Ni 0.250 0.250 0.250

No. 7
Entry from OQMD via LeMat-Bulk: crystalline LuNbSiNi at its relaxed geometry (PBE).

E above lowest polymorph: 0.00 kcal/mol of atoms
Raw total energy: -25.50 eV per formula unit

Lattice parameters (Å, degrees): 4.498 4.498 4.498 60.00 60.00 60.00
Atoms (fractional coordinates):
Lu 0.500 0.500 0.500
Nb 0.250 0.250 0.250
Ni 0.750 0.750 0.750
Si 0.000 0.000 0.000

No. 8
Entry from OQMD via LeMat-Bulk: crystalline LuNbSiNi at its relaxed geometry (PBE).

E above lowest polymorph: 6.38 kcal/mol of atoms
Raw total energy: -24.39 eV per formula unit

Lattice parameters (Å, degrees): 4.598 4.598 4.598 60.00 60.00 60.00
Atoms (fractional coordinates):
Lu 0.250 0.250 0.250
Nb 0.500 0.500 0.500
Ni 0.750 0.750 0.750
Si 0.000 0.000 0.000

No. 9
Entry from OQMD via LeMat-Bulk: crystalline LuNbNiSn at its relaxed geometry (PBE).

E above lowest polymorph: 0.00 kcal/mol of atoms
Raw total energy: -23.92 eV per formula unit

Lattice parameters (Å, degrees): 4.772 4.772 4.772 60.00 60.00 60.00
Atoms (fractional coordinates):
Lu 0.500 0.500 0.500
Nb 0.250 0.250 0.250
Ni 0.750 0.750 0.750
Sn 0.000 0.000 0.000

No. 10
Entry from OQMD via LeMat-Bulk: crystalline LuNbZnNi at its relaxed geometry (PBE).

Energy of formation: 0.190 eV per atom
E above lowest polymorph: 0.00 kcal/mol of atoms
Raw total energy: -20.69 eV per formula unit

Lattice parameters (Å, degrees): 4.600 4.600 4.600 60.00 60.00 60.00
Atoms (fractional coordinates):
Lu 0.500 0.500 0.500
Nb 0.250 0.250 0.250
Ni 0.750 0.750 0.750
Zn 0.000 0.000 0.000

No. 11
Entry from OQMD via LeMat-Bulk: crystalline LuNpNb at its relaxed geometry (PBE).

Energy of formation: 0.944 eV per atom
E above lowest polymorph: 0.00 kcal/mol of atoms
Raw total energy: -24.55 eV per formula unit

Lattice parameters (Å, degrees): 4.731 4.731 4.731 60.00 60.00 60.00
Each line ends with the local moment (μB).
Atoms (fractional coordinates):
Lu 0.500 0.500 0.500  0.00
Nb 0.250 0.250 0.250  -0.56
Np 0.000 0.000 0.000  3.39

No. 12
Entry from OQMD via LeMat-Bulk: crystalline Lu2Nb2O5 at its relaxed geometry (PBE).

E above lowest polymorph: 0.00 kcal/mol of atoms
Raw total energy: -74.22 eV per formula unit

Lattice parameters (Å, degrees): 9.574 3.486 3.486 90.00 90.00 90.00
Atoms (fractional coordinates):
Lu 0.262 0.500 0.500
Lu 0.738 0.500 0.500
Nb 0.000 0.000 0.000
Nb 0.500 0.000 0.000
O 0.128 0.500 0.000
O 0.872 0.500 0.000
O 0.128 0.000 0.500
O 0.872 0.000 0.500
O 0.500 0.500 0.500

No. 13
Entry from OQMD via LeMat-Bulk: crystalline Lu2Nb2O5 at its relaxed geometry (PBE).

E above lowest polymorph: 0.81 kcal/mol of atoms
Raw total energy: -73.90 eV per formula unit

Lattice parameters (Å, degrees): 6.945 4.002 4.002 90.00 90.00 90.00
Atoms (fractional coordinates):
Lu 0.000 0.000 0.000
Lu 0.500 0.000 0.000
Nb 0.192 0.500 0.500
Nb 0.808 0.500 0.500
O 0.255 0.500 0.000
O 0.745 0.500 0.000
O 0.255 0.000 0.500
O 0.745 0.000 0.500
O 0.500 0.500 0.500

No. 14
Entry from OQMD via LeMat-Bulk: crystalline LuNbPO at its relaxed geometry (PBE).

E above lowest polymorph: 5.50 kcal/mol of atoms
Raw total energy: -31.94 eV per formula unit

Lattice parameters (Å, degrees): 4.156 4.777 6.342 90.00 90.00 90.00
Atoms (fractional coordinates):
Lu 0.000 0.827 0.092
Lu 0.000 0.173 0.592
Nb 0.500 0.626 0.439
Nb 0.500 0.374 0.939
O 0.000 0.617 0.431
O 0.000 0.383 0.931
P 0.500 0.130 0.292
P 0.500 0.870 0.792

No. 15
Entry from OQMD via LeMat-Bulk: crystalline LuNbPO at its relaxed geometry (PBE).

E above lowest polymorph: 11.46 kcal/mol of atoms
Raw total energy: -30.91 eV per formula unit

Lattice parameters (Å, degrees): 3.805 7.200 5.382 90.00 90.00 90.00
Atoms (fractional coordinates):
Lu 0.000 0.206 0.453
Lu 0.000 0.794 0.953
Nb 0.500 0.603 0.469
Nb 0.500 0.397 0.969
O 0.500 0.322 0.381
O 0.500 0.678 0.881
P 0.000 0.829 0.451
P 0.000 0.171 0.951

No. 16
Entry from OQMD via LeMat-Bulk: crystalline LuNbPO at its relaxed geometry (PBE).

E above lowest polymorph: 25.49 kcal/mol of atoms
Raw total energy: -28.48 eV per formula unit

Lattice parameters (Å, degrees): 4.184 4.184 7.234 90.00 90.00 90.00
Each line ends with the local moment (μB).
Atoms (fractional coordinates):
Lu 0.000 0.000 0.500  0.00
Lu 0.500 0.500 0.500  0.00
Nb 0.000 0.500 0.102  0.05
Nb 0.500 0.000 0.898  0.05
O 0.000 0.000 0.000  0.00
O 0.500 0.500 0.000  0.00
P 0.500 0.000 0.265  0.00
P 0.000 0.500 0.735  0.00

No. 17
Entry from OQMD via LeMat-Bulk: crystalline LuNbPO at its relaxed geometry (PBE).

E above lowest polymorph: 0.00 kcal/mol of atoms
Raw total energy: -32.90 eV per formula unit

Lattice parameters (Å, degrees): 3.897 3.897 8.561 90.00 90.00 90.00
Atoms (fractional coordinates):
Lu 0.000 0.000 0.120
Lu 0.500 0.500 0.880
Nb 0.500 0.000 0.500
Nb 0.000 0.500 0.500
O 0.500 0.000 0.000
O 0.000 0.500 0.000
P 0.500 0.500 0.304
P 0.000 0.000 0.696

No. 18
Entry from OQMD via LeMat-Bulk: crystalline LuNb2Os at its relaxed geometry (PBE).

Energy of formation: 0.015 eV per atom
Raw total energy: -35.88 eV per formula unit

Lattice parameters (Å, degrees): 4.687 4.687 4.687 60.00 60.00 60.00
Atoms (fractional coordinates):
Lu 0.250 0.250 0.250
Nb 0.000 0.000 0.000
Nb 0.750 0.750 0.750
Os 0.500 0.500 0.500

No. 19
Entry from OQMD via LeMat-Bulk: crystalline LuPaNb at its relaxed geometry (PBE).

Energy of formation: 0.650 eV per atom
E above lowest polymorph: 0.00 kcal/mol of atoms
Raw total energy: -22.16 eV per formula unit

Lattice parameters (Å, degrees): 4.833 4.833 4.833 60.00 60.00 60.00
Atoms (fractional coordinates):
Lu 0.750 0.750 0.750
Nb 0.000 0.000 0.000
Pa 0.250 0.250 0.250

No. 20
Entry from OQMD via LeMat-Bulk: crystalline LuNbPb2 at its relaxed geometry (PBE).

E above lowest polymorph: 0.00 kcal/mol of atoms
Raw total energy: -20.25 eV per formula unit

Lattice parameters (Å, degrees): 5.233 5.233 5.233 60.00 60.00 60.00
Each line ends with the local moment (μB).
Atoms (fractional coordinates):
Lu 0.250 0.250 0.250  0.43
Nb 0.500 0.500 0.500  1.96
Pb 0.000 0.000 0.000  -0.01
Pb 0.750 0.750 0.750  -0.03